DFT (PBE) results for CeHoO4 after structural relaxation.

Cell and atoms, written as extended XYZ:
```
6
Lattice="3.601 -3.641 0.000 3.601 3.641 0.000 0.000 0.000 3.597" Properties=species:S:1:pos:R:3 pbc="T T T"
Ce 0.000 0.000 0.000
Ho 3.601 0.000 1.799
O 3.601 2.262 1.799
O 2.210 0.000 0.000
O 4.992 0.000 0.000
O 3.601 -2.262 1.799
```

space group	Cmmm (65)
DFT total energy	-8.033	eV/atom
E_form (uncorrected)	-2975	meV per atom

***

DFT (PBE) results for NdTmCdTc after structural relaxation.

Cell and atoms, written as extended XYZ:
```
4
Lattice="0.000 3.599 3.599 3.599 0.000 3.599 3.599 3.599 0.000" Properties=species:S:1:pos:R:3 pbc="T T T"
Nd 0.000 0.000 0.000
Tm 3.599 3.599 3.599
Cd 1.800 1.800 1.800
Tc 5.399 5.399 5.399
```

space group	F-43m (216)
DFT total energy	-5.169	eV/atom

***

DFT (PBE) results for PrNd2In3 after structural relaxation.

Cell and atoms, written as extended XYZ:
```
6
Lattice="5.493 0.000 0.000 -2.747 4.757 0.000 0.000 0.000 6.742" Properties=species:S:1:pos:R:3 pbc="T T T"
Pr 0.000 0.000 0.000
Nd 0.000 3.172 4.486
Nd 2.747 1.586 2.256
In 0.000 0.000 3.371
In 0.000 3.172 1.125
In 2.747 1.586 5.617
```

space group	P-3m1 (164)
DFT total energy	-4.248	eV/atom
distance to the lowest polymorph of the same formula	3.6	meV per atom